Hf2VIrO | the Alexandria database | PBE+U | relaxed; SG = P4/mmm, No. 123; total DFT energy (no corrections) = -9.190 eV/atom; M_tot = 0.101 μB/atom
1.0
4.397 0.000 0.000
0.000 3.985 0.000
0.000 0.000 4.397
V O Hf Ir
1 1 2 1
Direct
0.000 0.500 0.000
0.000 0.000 0.000
0.500 0.000 0.000
0.000 0.000 0.500
0.500 0.500 0.500